# 1
{
  "formula": "MgZn3",
  "functional": "meta-GGA SCAN",
  "state": "PBEsol geometry",
  "rho_g_cm3": 5.60,
  "energy_ev_per_atom": -11.450,
  "spacegroup": "No. 47",
  "lattice": [[-2.670, -0.928, 0.908], [1.244, -4.134, -0.570], [1.679, -0.153, 4.769]],
  "species": ["Zn", "Zn", "Zn", "Mg"],
  "frac_coords": [[0.502, 0.000, 0.746], [0.498, 0.000, 0.254], [0.500, 0.500, 0.000], [0.000, 0.500, 0.500]]
}

***

# 2
{
  "formula": "GaTeF2",
  "functional": "meta-GGA SCAN",
  "state": "PBEsol geometry",
  "rho_g_cm3": 6.30,
  "relative_energy_mev_per_atom": 620,
  "spacegroup": "No. 225",
  "formation_energy_uncorrected_mev_per_atom": -661,
  "lattice": [[-1.245, -1.163, -4.104], [-3.913, -2.003, -0.652], [-3.302, 2.180, -2.022]],
  "species": ["Te", "Ga", "F", "F"],
  "frac_coords": [[0.500, 0.500, 0.500], [0.000, 0.000, 0.000], [0.250, 0.250, 0.250], [0.750, 0.750, 0.750]]
}